Here is an optimized crystal structure of Fe3Co2Ni4 from the Alexandria database. Energies are from GGA-PBE. Values from VASP.

Results
Raw total energy = -62.4 eV per cell
Total moment = 13.41 μB per cell

Structure (Quantum ESPRESSO input):
```
&SYSTEM
  ibrav = 0, nat = 9, ntyp = 3
/
ATOMIC_SPECIES
Fe 55.84 Fe.upf
Co 58.93 Co.upf
Ni 58.69 Ni.upf
ATOMIC_POSITIONS crystal
Fe 0.000 0.356 0.000
Fe 0.356 0.000 0.000
Fe 0.644 0.644 0.000
Co 0.333 0.667 0.500
Co 0.667 0.333 0.500
Ni 0.000 0.000 0.000
Ni 0.000 0.693 0.500
Ni 0.307 0.307 0.500
Ni 0.693 0.000 0.500
CELL_PARAMETERS angstrom
6.903 0.000 0.000
-3.451 5.978 0.000
0.000 0.000 2.453
```